(1)
# Dy2HoCd4In2 | the Open Quantum Materials Database | PBE | optimized geometry
# spin magnetization = 0.00 μB/f.u.
# mass density = 8.7 g/cm³
# calculated total energy = -2.93 eV/atom
data_Dy2HoCd4In2
_chemical_formula_sum 'Dy4 Ho2 Cd8 In4'
_space_group_name_H-M_alt 'A m m 2'
_space_group_IT_number 38
_cell_length_a 4.605
_cell_length_b 12.936
_cell_length_c 7.482
_cell_angle_alpha 90.00
_cell_angle_beta 90.00
_cell_angle_gamma 90.00
loop_
_space_group_symop_operation_xyz
'x,y,z'
'-x,-y,z'
'-x,y,z'
'x,-y,z'
'x,y+1/2,z+1/2'
'-x,-y+1/2,z+1/2'
'-x,y+1/2,z+1/2'
'x,-y+1/2,z+1/2'
loop_
_atom_site_label
_atom_site_fract_x
_atom_site_fract_y
_atom_site_fract_z
Dy1 0.000 0.214 0.000
Ho1 0.000 0.000 0.359
Cd1 0.000 0.000 0.785
Cd2 0.500 0.000 0.028
Cd3 0.500 0.121 0.665
In1 0.500 0.166 0.286

***

(2)
# DyHo2Mg3CdIn2 | the Open Quantum Materials Database | PBE | optimized geometry
# spin magnetization = 0.00 μB/f.u.
# mass density = 6.7 g/cm³
# calculated total energy = -3.11 eV/atom
data_DyHo2Mg3CdIn2
_chemical_formula_sum 'Dy2 Ho4 Mg6 Cd2 In4'
_space_group_name_H-M_alt 'A m m 2'
_space_group_IT_number 38
_cell_length_a 4.590
_cell_length_b 13.061
_cell_length_c 7.534
_cell_angle_alpha 90.00
_cell_angle_beta 90.00
_cell_angle_gamma 90.00
loop_
_space_group_symop_operation_xyz
'x,y,z'
'-x,-y,z'
'-x,y,z'
'x,-y,z'
'x,y+1/2,z+1/2'
'-x,-y+1/2,z+1/2'
'-x,y+1/2,z+1/2'
'x,-y+1/2,z+1/2'
loop_
_atom_site_label
_atom_site_fract_x
_atom_site_fract_y
_atom_site_fract_z
Dy1 0.000 0.000 0.000
Ho1 0.000 0.213 0.640
Mg1 0.500 0.000 0.668
Mg2 0.500 0.121 0.306
Cd1 0.000 0.000 0.427
In1 0.500 0.167 0.926

***

(3)
# Dy2HoMg3CdIn2 | the Open Quantum Materials Database | PBE | optimized geometry
# spin magnetization = 0.00 μB/f.u.
# mass density = 6.6 g/cm³
# calculated total energy = -3.12 eV/atom
data_Dy2HoMg3CdIn2
_chemical_formula_sum 'Dy4 Ho2 Mg6 Cd2 In4'
_space_group_name_H-M_alt 'A m m 2'
_space_group_IT_number 38
_cell_length_a 4.626
_cell_length_b 13.011
_cell_length_c 7.538
_cell_angle_alpha 90.00
_cell_angle_beta 90.00
_cell_angle_gamma 90.00
loop_
_space_group_symop_operation_xyz
'x,y,z'
'-x,-y,z'
'-x,y,z'
'x,-y,z'
'x,y+1/2,z+1/2'
'-x,-y+1/2,z+1/2'
'-x,y+1/2,z+1/2'
'x,-y+1/2,z+1/2'
loop_
_atom_site_label
_atom_site_fract_x
_atom_site_fract_y
_atom_site_fract_z
Dy1 0.000 0.213 0.000
Ho1 0.000 0.000 0.360
Mg1 0.500 0.000 0.027
Mg2 0.500 0.120 0.666
Cd1 0.000 0.000 0.786
In1 0.500 0.166 0.287

***

(4)
# DyHo2Zn3CdIn2 | the Open Quantum Materials Database | PBE | optimized geometry
# spin magnetization = 0.00 μB/f.u.
# mass density = 8.5 g/cm³
# calculated total energy = -3.02 eV/atom
data_DyHo2Zn3CdIn2
_chemical_formula_sum 'Dy2 Ho4 Zn6 Cd2 In4'
_space_group_name_H-M_alt 'A m m 2'
_space_group_IT_number 38
_cell_length_a 4.569
_cell_length_b 12.402
_cell_length_c 7.141
_cell_angle_alpha 90.00
_cell_angle_beta 90.00
_cell_angle_gamma 90.00
loop_
_space_group_symop_operation_xyz
'x,y,z'
'-x,-y,z'
'-x,y,z'
'x,-y,z'
'x,y+1/2,z+1/2'
'-x,-y+1/2,z+1/2'
'-x,y+1/2,z+1/2'
'x,-y+1/2,z+1/2'
loop_
_atom_site_label
_atom_site_fract_x
_atom_site_fract_y
_atom_site_fract_z
Dy1 0.000 0.000 0.000
Ho1 0.000 0.215 0.645
Zn1 0.500 0.000 0.664
Zn2 0.500 0.117 0.313
Cd1 0.000 0.000 0.431
In1 0.500 0.167 0.930

***

(5)
# Dy2HoCdIr4 | the Open Quantum Materials Database | PBE | optimized geometry
# calculated formation energy = -579 meV per atom
# spin magnetization = 0.01 μB/f.u.
# mass density = 14.8 g/cm³
data_Dy2HoCdIr4
_chemical_formula_sum 'Dy2 Ho1 Cd1 Ir4'
_space_group_name_H-M_alt 'P 4/m m m'
_space_group_IT_number 123
_space_group_name_Hall '-P 4 2'
_cell_length_a 4.768
_cell_length_b 4.768
_cell_length_c 6.747
_cell_angle_alpha 90.00
_cell_angle_beta 90.00
_cell_angle_gamma 90.00
loop_
_atom_site_label
_atom_site_fract_x
_atom_site_fract_y
_atom_site_fract_z
Dy1 0.000 0.000 0.000
Dy2 0.500 0.500 0.500
Ho1 0.000 0.000 0.500
Cd1 0.500 0.500 0.000
Ir1 0.000 0.500 0.250

***

(6)
# DyHo2Mg3Tl2Cd | the Open Quantum Materials Database | PBE | optimized geometry
# spin magnetization = 0.00 μB/f.u.
# mass density = 8.0 g/cm³
# calculated total energy = -2.99 eV/atom
data_DyHo2Mg3Tl2Cd
_chemical_formula_sum 'Dy2 Ho4 Mg6 Tl4 Cd2'
_space_group_name_H-M_alt 'A m m 2'
_space_group_IT_number 38
_cell_length_a 4.611
_cell_length_b 13.057
_cell_length_c 7.534
_cell_angle_alpha 90.00
_cell_angle_beta 90.00
_cell_angle_gamma 90.00
loop_
_space_group_symop_operation_xyz
'x,y,z'
'-x,-y,z'
'-x,y,z'
'x,-y,z'
'x,y+1/2,z+1/2'
'-x,-y+1/2,z+1/2'
'-x,y+1/2,z+1/2'
'x,-y+1/2,z+1/2'
loop_
_atom_site_label
_atom_site_fract_x
_atom_site_fract_y
_atom_site_fract_z
Dy1 0.000 0.000 0.000
Ho1 0.000 0.212 0.363
Mg1 0.500 0.000 0.336
Mg2 0.500 0.120 0.696
Tl1 0.500 0.167 0.076
Cd1 0.000 0.000 0.576